## MgReNi3 (PBEsol)

Data for a relaxed MgReNi3 crystal.

## Properties
Density of states at the Fermi level: 7.2 states/eV per cell
ΔE_f: 1.64 eV per atom
Space-group type: Pm-3m
Spin magnetization: 3.00 μB/f.u.
Calculated total energy: -5.064 eV per atom

Structure (CIF):
```
data_MgReNi3
_cell_length_a 4.0994
_cell_length_b 4.0994
_cell_length_c 4.0994
_cell_angle_alpha 90.00
_cell_angle_beta 90.00
_cell_angle_gamma 90.00
_space_group_name_H-M_alt 'P 1'
_space_group_IT_number 1
loop_
_space_group_symop_operation_xyz
'x,y,z'
loop_
_atom_site_label
_atom_site_fract_x
_atom_site_fract_y
_atom_site_fract_z
Mg1 0.0000 0.0000 0.0000
Re1 0.5000 0.5000 0.5000
Ni1 0.0000 0.0000 0.5000
Ni2 0.0000 0.5000 0.0000
Ni3 0.5000 0.0000 0.0000
```

## MgNi2Rh (PBEsol)

Data for a relaxed MgNi2Rh crystal.

## Properties
Density of states at the Fermi level: 4.8 states/eV per cell
ΔE_f: -0.09 eV per atom
Space-group type: Cmmm
Spin magnetization: 0.00 μB/f.u.
Calculated total energy: -5.637 eV per atom

Structure (CIF):
```
data_MgNi2Rh
_cell_length_a 2.6634
_cell_length_b 4.4095
_cell_length_c 4.4095
_cell_angle_alpha 107.27
_cell_angle_beta 90.00
_cell_angle_gamma 90.00
_space_group_name_H-M_alt 'P 1'
_space_group_IT_number 1
loop_
_space_group_symop_operation_xyz
'x,y,z'
loop_
_atom_site_label
_atom_site_fract_x
_atom_site_fract_y
_atom_site_fract_z
Mg1 0.5000 0.5000 0.5000
Rh1 0.5000 0.0000 0.0000
Ni1 0.0000 0.5000 0.0000
Ni2 0.0000 0.0000 0.5000
```

## MgNiRh (PBEsol)

Data for a relaxed MgNiRh crystal.

## Properties
Density of states at the Fermi level: 3.3 states/eV per cell
ΔE_f: 0.02 eV per atom
Space-group type: P3m1
Spin magnetization: 0.53 μB/f.u.
Calculated total energy: -5.313 eV per atom

Structure (CIF):
```
data_MgNiRh
_cell_length_a 2.7266
_cell_length_b 2.7266
_cell_length_c 6.2955
_cell_angle_alpha 90.00
_cell_angle_beta 90.00
_cell_angle_gamma 120.00
_space_group_name_H-M_alt 'P 1'
_space_group_IT_number 1
loop_
_space_group_symop_operation_xyz
'x,y,z'
loop_
_atom_site_label
_atom_site_fract_x
_atom_site_fract_y
_atom_site_fract_z
Ni1 0.3333 0.6667 0.6610
Rh1 0.6667 0.3333 0.3440
Mg1 0.0000 0.0000 0.9950
```

## MgNiRh2 (PBEsol)

Data for a relaxed MgNiRh2 crystal.

## Properties
Density of states at the Fermi level: 6.7 states/eV per cell
ΔE_f: -0.05 eV per atom
Space-group type: Pmmm
Spin magnetization: 0.11 μB/f.u.
Calculated total energy: -6.086 eV per atom

Structure (CIF):
```
data_MgNiRh2
_cell_length_a 2.7771
_cell_length_b 4.3174
_cell_length_c 4.4620
_cell_angle_alpha 90.00
_cell_angle_beta 90.00
_cell_angle_gamma 90.00
_space_group_name_H-M_alt 'P 1'
_space_group_IT_number 1
loop_
_space_group_symop_operation_xyz
'x,y,z'
loop_
_atom_site_label
_atom_site_fract_x
_atom_site_fract_y
_atom_site_fract_z
Ni1 0.0000 0.5000 0.5000
Mg1 0.5000 0.5000 0.0000
Rh1 0.5000 0.0000 0.5000
Rh2 0.0000 0.0000 0.0000
```

## MgSiNiRh2 (PBEsol)

Data for a relaxed MgSiNiRh2 crystal.

## Properties
Density of states at the Fermi level: 2.9 states/eV per cell
Space-group type: P4/mmm
Spin magnetization: 0.00 μB/f.u.
Calculated total energy: -4.812 eV per atom

Structure (CIF):
```
data_MgSiNiRh2
_cell_length_a 4.1125
_cell_length_b 4.3847
_cell_length_c 4.3847
_cell_angle_alpha 90.00
_cell_angle_beta 90.00
_cell_angle_gamma 90.00
_space_group_name_H-M_alt 'P 1'
_space_group_IT_number 1
loop_
_space_group_symop_operation_xyz
'x,y,z'
loop_
_atom_site_label
_atom_site_fract_x
_atom_site_fract_y
_atom_site_fract_z
Mg1 0.0000 0.0000 0.0000
Rh1 0.0000 0.0000 0.5000
Rh2 0.0000 0.5000 0.0000
Si1 0.5000 0.5000 0.5000
Ni1 0.5000 0.0000 0.0000
```

## MgNi2Ru (PBEsol)

Data for a relaxed MgNi2Ru crystal.

## Properties
Density of states at the Fermi level: 3.4 states/eV per cell
ΔE_f: 0.04 eV per atom
Space-group type: P4/mmm
Spin magnetization: 0.00 μB/f.u.
Calculated total energy: -6.015 eV per atom

Structure (CIF):
```
data_MgNi2Ru
_cell_length_a 2.6275
_cell_length_b 2.6275
_cell_length_c 7.2672
_cell_angle_alpha 90.00
_cell_angle_beta 90.00
_cell_angle_gamma 90.00
_space_group_name_H-M_alt 'P 1'
_space_group_IT_number 1
loop_
_space_group_symop_operation_xyz
'x,y,z'
loop_
_atom_site_label
_atom_site_fract_x
_atom_site_fract_y
_atom_site_fract_z
Ni1 0.0000 0.0000 0.7636
Ni2 0.0000 0.0000 0.2364
Mg1 0.5000 0.5000 0.5000
Ru1 0.5000 0.5000 0.0000
```

## Mg2NiRu (PBEsol)

Data for a relaxed Mg2NiRu crystal.

## Properties
Density of states at the Fermi level: 2.5 states/eV per cell
ΔE_f: 0.17 eV per atom
Space-group type: C2/m
Spin magnetization: 0.00 μB/f.u.
Calculated total energy: -4.773 eV per atom

Structure (CIF):
```
data_Mg2NiRu
_cell_length_a 2.6806
_cell_length_b 4.5299
_cell_length_c 4.9839
_cell_angle_alpha 97.85
_cell_angle_beta 90.00
_cell_angle_gamma 107.21
_space_group_name_H-M_alt 'P 1'
_space_group_IT_number 1
loop_
_space_group_symop_operation_xyz
'x,y,z'
loop_
_atom_site_label
_atom_site_fract_x
_atom_site_fract_y
_atom_site_fract_z
Ni1 0.0000 0.0000 0.5000
Mg1 0.7464 0.4927 0.7470
Mg2 0.2536 0.5073 0.2530
Ru1 0.5000 0.0000 0.0000
```

## MgNi6Sb (PBEsol)

Data for a relaxed MgNi6Sb crystal.

## Properties
Density of states at the Fermi level: 34.9 states/eV per cell
Space-group type: Cmmm
Spin magnetization: 0.77 μB/f.u.
Calculated total energy: -5.541 eV per atom

Structure (CIF):
```
data_MgNi6Sb
_cell_length_a 6.2791
_cell_length_b 6.2791
_cell_length_c 10.2495
_cell_angle_alpha 90.00
_cell_angle_beta 90.00
_cell_angle_gamma 109.35
_space_group_name_H-M_alt 'P 1'
_space_group_IT_number 1
loop_
_space_group_symop_operation_xyz
'x,y,z'
loop_
_atom_site_label
_atom_site_fract_x
_atom_site_fract_y
_atom_site_fract_z
Ni1 0.3727 0.1254 0.6261
Ni2 0.3727 0.1254 0.3739
Ni3 0.2522 0.7478 0.7510
Ni4 0.0000 0.0000 0.5000
Ni5 0.8754 0.6223 0.1236
Ni6 0.6273 0.8746 0.3739
Ni7 0.8746 0.6273 0.6261
Ni8 0.1246 0.3777 0.8764
Ni9 0.3777 0.1246 0.8764
Ni10 0.0000 0.0000 0.0000
Ni11 0.2522 0.7478 0.2490
Ni12 0.3777 0.1246 0.1236
Ni13 0.6273 0.8746 0.6261
Ni14 0.1254 0.3727 0.3739
Ni15 0.5000 0.5000 0.0000
Ni16 0.8746 0.6273 0.3739
Ni17 0.1246 0.3777 0.1236
Ni18 0.7478 0.2522 0.7510
Ni19 0.7478 0.2522 0.2490
Ni20 0.6223 0.8754 0.1236
Ni21 0.1254 0.3727 0.6261
Ni22 0.6223 0.8754 0.8764
Ni23 0.5000 0.5000 0.5000
Ni24 0.8754 0.6223 0.8764
Mg1 0.5000 0.5000 0.2466
Mg2 0.2510 0.7490 0.0000
Mg3 0.5000 0.5000 0.7534
Mg4 0.7490 0.2510 0.0000
Sb1 0.7467 0.2533 0.5000
Sb2 0.2533 0.7467 0.5000
Sb3 0.0000 0.0000 0.7563
Sb4 0.0000 0.0000 0.2437
```

## Mg3NiSb (PBEsol)

Data for a relaxed Mg3NiSb crystal.

## Properties
Density of states at the Fermi level: 2.5 states/eV per cell
Space-group type: Pm-3m
Spin magnetization: 0.00 μB/f.u.
Calculated total energy: -2.334 eV per atom

Structure (CIF):
```
data_Mg3NiSb
_cell_length_a 5.2143
_cell_length_b 5.2143
_cell_length_c 5.2143
_cell_angle_alpha 90.00
_cell_angle_beta 90.00
_cell_angle_gamma 90.00
_space_group_name_H-M_alt 'P 1'
_space_group_IT_number 1
loop_
_space_group_symop_operation_xyz
'x,y,z'
loop_
_atom_site_label
_atom_site_fract_x
_atom_site_fract_y
_atom_site_fract_z
Ni1 0.5000 0.5000 0.5000
Mg1 0.5000 0.0000 0.0000
Mg2 0.0000 0.0000 0.5000
Mg3 0.0000 0.5000 0.0000
Sb1 0.0000 0.0000 0.0000
```

## MgNiSbTe2 (PBEsol)

Data for a relaxed MgNiSbTe2 crystal.

## Properties
Density of states at the Fermi level: 3.7 states/eV per cell
Space-group type: P4/mmm
Spin magnetization: 0.00 μB/f.u.
Calculated total energy: -3.766 eV per atom

Structure (CIF):
```
data_MgNiSbTe2
_cell_length_a 4.6873
_cell_length_b 5.2147
_cell_length_c 5.2147
_cell_angle_alpha 90.00
_cell_angle_beta 90.00
_cell_angle_gamma 90.00
_space_group_name_H-M_alt 'P 1'
_space_group_IT_number 1
loop_
_space_group_symop_operation_xyz
'x,y,z'
loop_
_atom_site_label
_atom_site_fract_x
_atom_site_fract_y
_atom_site_fract_z
Sb1 0.5000 0.0000 0.0000
Ni1 0.0000 0.0000 0.0000
Te1 0.0000 0.5000 0.0000
Te2 0.0000 0.0000 0.5000
Mg1 0.5000 0.5000 0.5000
```

## Mg2ScNi2 (PBEsol)

Data for a relaxed Mg2ScNi2 crystal.

## Properties
Density of states at the Fermi level: 3.2 states/eV per cell
ΔE_f: -0.07 eV per atom
Space-group type: I4/mmm
Spin magnetization: 0.00 μB/f.u.
Calculated total energy: -4.544 eV per atom

Structure (CIF):
```
data_Mg2ScNi2
_cell_length_a 3.8064
_cell_length_b 3.8064
_cell_length_c 6.3064
_cell_angle_alpha 107.57
_cell_angle_beta 107.57
_cell_angle_gamma 90.00
_space_group_name_H-M_alt 'P 1'
_space_group_IT_number 1
loop_
_space_group_symop_operation_xyz
'x,y,z'
loop_
_atom_site_label
_atom_site_fract_x
_atom_site_fract_y
_atom_site_fract_z
Mg1 0.7500 0.2500 0.5000
Mg2 0.2500 0.7500 0.5000
Sc1 0.0000 0.0000 0.0000
Ni1 0.5965 0.5965 0.1929
Ni2 0.4035 0.4035 0.8071
```

## MgSc4Ni (PBEsol)

Data for a relaxed MgSc4Ni crystal.

## Properties
Density of states at the Fermi level: 6.8 states/eV per cell
ΔE_f: 0.46 eV per atom
Space-group type: F-43m
Spin magnetization: 0.00 μB/f.u.
Calculated total energy: -5.257 eV per atom

Structure (CIF):
```
data_MgSc4Ni
_cell_length_a 5.6373
_cell_length_b 5.6373
_cell_length_c 5.6373
_cell_angle_alpha 60.00
_cell_angle_beta 60.00
_cell_angle_gamma 60.00
_space_group_name_H-M_alt 'P 1'
_space_group_IT_number 1
loop_
_space_group_symop_operation_xyz
'x,y,z'
loop_
_atom_site_label
_atom_site_fract_x
_atom_site_fract_y
_atom_site_fract_z
Sc1 0.3740 0.8779 0.3740
Sc2 0.3740 0.3740 0.8779
Sc3 0.8779 0.3740 0.3740
Sc4 0.3740 0.3740 0.3740
Ni1 0.0000 0.0000 0.0000
Mg1 0.7500 0.7500 0.7500
```